1.
BiIr2Pt2 | Alexandria | PBE | relaxed; space group = P4/mbm, No. 127; ΔE_f = 314 meV/atom; total moment = 0.00 Bohr magnetons per cell; V = 17.96 Å³ per atom
1.0
-1.456 -0.149 -6.994
-6.912 -1.068 1.462
-0.530 3.477 0.036
Ir Bi Pt
4 2 4
Cartesian
-5.615 -0.801 -5.173 Ir
-1.806 -0.231 -4.210 Ir
-2.753 -0.415 -0.359 Ir
-6.562 -0.985 -1.322 Ir
0.000 0.000 0.000 Bi
-4.184 -0.608 -2.766 Bi
-1.885 1.514 -2.096 Pt
-3.808 1.255 -5.340 Pt
-5.089 1.006 -0.156 Pt
-7.013 0.747 -3.400 Pt

=====

2.
BiIrPt2 | Alexandria | PBE | relaxed; space group = I-42d, No. 122; ΔE_f = 546 meV/atom; total moment = 0.00 Bohr magnetons per cell; V = 25.76 Å³ per atom
1.0
5.469 0.000 0.000
0.000 5.469 0.000
2.734 2.734 6.890
Pt Bi Ir
4 2 2
Cartesian
3.806 1.367 1.722 Pt
6.836 6.541 5.167 Pt
4.102 4.397 5.167 Pt
1.663 4.102 1.722 Pt
0.000 0.000 0.000 Bi
5.469 2.734 3.445 Bi
2.734 2.734 0.000 Ir
2.734 5.469 3.445 Ir

=====

3.
Bi8IrPt2 | Alexandria | PBE | relaxed; space group = C2/m, No. 12; ΔE_f = 79 meV/atom; total moment = 0.00 Bohr magnetons per cell; V = 31.31 Å³ per atom
1.0
5.700 -0.304 -0.260
0.385 7.777 -0.170
0.385 1.038 7.710
Bi Pt Ir
8 2 1
Cartesian
1.772 3.859 3.301 Bi
1.984 6.935 1.999 Bi
4.698 4.653 3.980 Bi
4.485 1.576 5.281 Bi
4.485 5.462 0.738 Bi
4.410 1.551 1.327 Bi
2.060 6.960 5.953 Bi
1.984 3.050 6.542 Bi
1.589 1.846 1.579 Pt
4.881 6.665 5.701 Pt
0.000 0.000 0.000 Ir

=====

4.
Bi8Ir2Pt | Alexandria | PBE | relaxed; space group = C2/m, No. 12; ΔE_f = 135 meV/atom; total moment = 0.00 Bohr magnetons per cell; V = 29.94 Å³ per atom
1.0
5.349 0.075 0.057
0.163 8.421 1.181
0.163 3.405 7.792
Bi Ir Pt
8 2 1
Cartesian
1.316 4.215 3.198 Bi
4.131 6.234 2.367 Bi
1.543 5.667 6.663 Bi
1.699 9.829 7.458 Bi
4.358 7.686 5.832 Bi
4.131 3.959 5.366 Bi
3.975 2.073 1.573 Bi
1.543 7.943 3.664 Bi
1.314 2.074 1.574 Ir
4.360 9.827 7.457 Ir
0.000 0.000 0.000 Pt

=====

5.
BiIr2Pt | Alexandria | PBE | relaxed; space group = I-42d, No. 122; ΔE_f = 445 meV/atom; total moment = 0.00 Bohr magnetons per cell; V = 19.51 Å³ per atom
1.0
-3.172 1.911 -1.628
-1.699 -3.565 -0.874
-6.792 -0.831 7.232
Ir Bi Pt
4 2 2
Cartesian
-3.362 -2.074 0.953 Ir
-7.031 -1.474 4.429 Ir
-3.688 0.417 0.787 Ir
-9.247 -1.840 3.291 Ir
0.000 0.000 0.000 Bi
-6.200 0.126 2.177 Bi
-2.436 -0.827 -1.251 Pt
-5.464 -2.612 2.553 Pt

=====

6.
Rb2BiIrPt | Alexandria | PBE | relaxed; space group = P4/mmm, No. 123; ΔE_f = 877 meV/atom; total moment = 1.97 Bohr magnetons per cell; V = 43.50 Å³ per atom
1.0
-1.796 6.228 0.952
-2.368 -1.337 4.276
5.507 1.071 3.384
Pt Rb Ir Bi
1 2 1 1
Cartesian
0.000 0.000 0.000 Pt
-0.898 3.114 0.476 Rb
2.753 0.535 1.692 Rb
0.671 2.981 4.306 Ir
-1.184 -0.668 2.138 Bi

=====

Question: What is the V in the second record?
Answer: 25.76 Å³ per atom

=====

Question: The highest V belongs to which entry?
Answer: Rb2BiIrPt

=====

Copy entry 3 word for word.
Bi8IrPt2 | Alexandria | PBE | relaxed; space group = C2/m, No. 12; ΔE_f = 79 meV/atom; total moment = 0.00 Bohr magnetons per cell; V = 31.31 Å³ per atom
1.0
5.700 -0.304 -0.260
0.385 7.777 -0.170
0.385 1.038 7.710
Bi Pt Ir
8 2 1
Cartesian
1.772 3.859 3.301 Bi
1.984 6.935 1.999 Bi
4.698 4.653 3.980 Bi
4.485 1.576 5.281 Bi
4.485 5.462 0.738 Bi
4.410 1.551 1.327 Bi
2.060 6.960 5.953 Bi
1.984 3.050 6.542 Bi
1.589 1.846 1.579 Pt
4.881 6.665 5.701 Pt
0.000 0.000 0.000 Ir